[1]
Compound: YPuCo
Source: Alexandria
Functional: PBE-GGA
Structure: optimized geometry

Computed properties:
**Crystal system**: tetragonal
**Calculated total energy**: -9.25 eV per atom
**Energy above the most stable polymorph in this dataset**: 23 meV per atom
**Energy of formation from the pure elements**: 0.05 eV per atom

a = 3.3546 Å, b = 3.3546 Å, c = 6.4904 Å
α = 104.98°, β = 104.98°, γ = 90.00°
Atoms (fractional coordinates):
1 Pu 0.2982 0.2982 0.5965
2 Y 0.0306 0.0306 0.0612
3 Co 0.6711 0.6711 0.3423


[2]
Compound: Ac8TlSn5
Source: Alexandria
Functional: PBE-GGA
Structure: optimized geometry

Computed properties:
**Crystal system**: tetragonal
**Calculated total energy**: -4.57 eV per atom
**Energy of formation from the pure elements**: -0.62 eV per atom

a = 8.8359 Å, b = 8.8359 Å, c = 8.8359 Å
α = 109.58°, β = 109.26°, γ = 109.58°
Atoms (fractional coordinates):
1 Ac 0.4861 0.6102 0.2405
2 Sn 0.5000 0.0000 0.5000
3 Sn 0.3746 0.1263 0.9982
4 Tl 0.2500 0.5000 0.7500
5 Sn 0.0018 0.3764 0.1281
6 Ac 0.6262 0.8899 0.8730
7 Ac 0.7595 0.2456 0.3697
8 Ac 0.2638 0.2468 0.3738
9 Sn 0.8719 0.8737 0.2483
10 Ac 0.1270 0.7532 0.0169
11 Ac 0.6303 0.3898 0.8759
12 Ac 0.9831 0.1101 0.7362
13 Ac 0.1241 0.7544 0.5139
14 Sn 0.7517 0.6236 0.6254


> The highest calculated total energy belongs to which entry?

Ac8TlSn5